Record 1
VASP calculation (PBE) on Tb2Pm4HoTh after structural relaxation.

Results
The formation energy is 138.9 meV per atom.

Geometry as CIF:
```
data_Tb2Pm4HoTh
_space_group_name_H-M_alt 'P 1 2/m 1'
_space_group_IT_number 10
_space_group_name_Hall '-P 2y'
_cell_length_a 6.030
_cell_length_b 6.034
_cell_length_c 7.284
_cell_angle_alpha 90.00
_cell_angle_beta 90.05
_cell_angle_gamma 90.00
loop_
_atom_site_label
_atom_site_type_symbol
_atom_site_fract_x
_atom_site_fract_y
_atom_site_fract_z
_atom_site_occupancy
Tb1 Tb 0.000 0.000 0.000 1
Tb2 Tb 0.500 0.500 0.500 1
Pm1 Pm 0.000 0.500 0.248 1
Pm2 Pm 0.500 0.000 0.247 1
Ho1 Ho 0.000 0.000 0.500 1
Th1 Th 0.500 0.500 0.000 1
```

Record 2
VASP calculation (PBE) on TbPmHoTh2 after structural relaxation.

Results
The formation energy is 409.7 meV per atom.

Geometry as CIF:
```
data_TbPmHoTh2
_space_group_name_H-M_alt 'C m c m'
_space_group_IT_number 63
_space_group_name_Hall '-C 2c 2'
_cell_length_a 6.674
_cell_length_b 15.672
_cell_length_c 6.677
_cell_angle_alpha 90.00
_cell_angle_beta 90.00
_cell_angle_gamma 90.00
loop_
_atom_site_label
_atom_site_type_symbol
_atom_site_fract_x
_atom_site_fract_y
_atom_site_fract_z
_atom_site_occupancy
Tb1 Tb 0.000 0.242 0.250 1
Pm1 Pm 0.000 0.348 0.750 1
Ho1 Ho 0.000 0.152 0.750 1
Th1 Th 0.248 0.000 0.000 1
```

Record 3
VASP calculation (PBE) on Tb3PmHo6Th2 after structural relaxation.

Results
The formation energy is 27.3 meV per atom.

Geometry as CIF:
```
data_Tb3PmHo6Th2
_space_group_name_H-M_alt 'C 1 2/m 1'
_space_group_IT_number 12
_space_group_name_Hall '-C 2y'
_cell_length_a 6.173
_cell_length_b 10.683
_cell_length_c 11.716
_cell_angle_alpha 90.00
_cell_angle_beta 100.13
_cell_angle_gamma 90.00
loop_
_atom_site_label
_atom_site_type_symbol
_atom_site_fract_x
_atom_site_fract_y
_atom_site_fract_z
_atom_site_occupancy
Tb1 Tb 0.000 0.000 0.000 1
Tb2 Tb 0.000 0.334 0.000 1
Pm1 Pm 0.000 0.500 0.500 1
Ho1 Ho 0.245 0.000 0.748 1
Ho2 Ho 0.248 0.169 0.252 1
Th1 Th 0.000 0.167 0.500 1
```